1.
First-principles (GGA-PBE) data for an optimized crystal structure of Cs3Cd3In2, as listed in Alexandria.

Cell lengths 5.274, 14.416, 18.723 Å; angles 90.00, 90.00, 90.00 degrees
Space group Cmcm (No. 63)
One atom of each set of equivalent atoms:
Cs 0.000 0.065 0.103 (multiplicity 8)
Cs 0.000 0.391 0.250 (multiplicity 4)
Cd 0.000 0.308 0.750 (multiplicity 4)
Cd 0.000 0.320 0.037 (multiplicity 8)
In 0.000 0.222 0.605 (multiplicity 8)

Properties
- Energy above the most stable polymorph in this dataset: 0.000 eV per atom

2.
First-principles (GGA-PBE) data for an optimized crystal structure of Cs2CdIn2, as listed in Alexandria.

Cell lengths 7.753, 7.753, 8.744 Å; angles 90.00, 90.00, 90.00 degrees
Space group I4/mmm (No. 139)
One atom of each set of equivalent atoms:
Cs 0.000 0.500 0.250 (multiplicity 4)
Cd 0.000 0.000 0.000 (multiplicity 2)
In 0.000 0.000 0.341 (multiplicity 4)

Properties
- Energy above the most stable polymorph in this dataset: 0.144 eV per atom

3.
First-principles (GGA-PBE) data for an optimized crystal structure of Cs12Cd3In5, as listed in Alexandria.

Cell lengths 23.317, 23.317, 23.317 Å; angles 90.00, 90.00, 90.00 degrees
Space group Ia-3d (No. 230)
One atom of each set of equivalent atoms:
Cs 0.027 0.074 0.647 (multiplicity 96)
Cd 0.000 0.250 0.125 (multiplicity 24)
In 0.000 0.000 0.000 (multiplicity 16)
In 0.000 0.250 0.375 (multiplicity 24)

4.
First-principles (GGA-PBE) data for an optimized crystal structure of CsCd6In6, as listed in Alexandria.

Cell lengths 6.293, 10.625, 10.605 Å; angles 90.00, 90.00, 90.00 degrees
Space group Cmmm (No. 65)
One atom of each set of equivalent atoms:
Cs 0.000 0.000 0.000 (multiplicity 2)
Cd 0.000 0.500 0.267 (multiplicity 4)
Cd 0.250 0.250 0.240 (multiplicity 8)
In 0.000 0.000 0.356 (multiplicity 4)
In 0.000 0.304 0.500 (multiplicity 4)
In 0.000 0.342 0.000 (multiplicity 4)

5.
First-principles (GGA-PBE) data for an optimized crystal structure of Cs12Cd5In3, as listed in Alexandria.

Cell lengths 23.106, 23.106, 23.106 Å; angles 90.00, 90.00, 90.00 degrees
Space group Ia-3d (No. 230)
One atom of each set of equivalent atoms:
Cs 0.019 0.076 0.652 (multiplicity 96)
Cd 0.000 0.000 0.000 (multiplicity 16)
Cd 0.000 0.250 0.375 (multiplicity 24)
In 0.000 0.250 0.125 (multiplicity 24)

6.
First-principles (GGA-PBE) data for an optimized crystal structure of Cs4Cd3In2, as listed in Alexandria.

Cell lengths 19.367, 4.979, 9.592 Å; angles 90.00, 106.22, 90.00 degrees
Space group C2/m (No. 12)
One atom of each set of equivalent atoms:
Cs 0.084 0.000 0.404 (multiplicity 4)
Cs 0.239 0.500 0.185 (multiplicity 4)
Cd 0.000 0.500 0.000 (multiplicity 2)
Cd 0.090 0.500 0.768 (multiplicity 4)
In 0.079 0.000 0.966 (multiplicity 4)

7.
First-principles (GGA-PBE) data for an optimized crystal structure of CsCd7In5, as listed in Alexandria.

Cell lengths 6.237, 10.840, 10.646 Å; angles 90.00, 90.00, 90.00 degrees
Space group Imm2 (No. 44)
One atom of each set of equivalent atoms:
Cs 0.000 0.000 0.000 (multiplicity 2)
Cd 0.000 0.000 0.362 (multiplicity 2)
Cd 0.000 0.000 0.644 (multiplicity 2)
Cd 0.000 0.274 0.500 (multiplicity 4)
Cd 0.000 0.360 0.000 (multiplicity 4)
Cd 0.000 0.500 0.726 (multiplicity 2)
In 0.000 0.500 0.275 (multiplicity 2)
In 0.249 0.254 0.750 (multiplicity 8)

8.
First-principles (GGA-PBE) data for an optimized crystal structure of CsCd2In2, as listed in Alexandria.

Cell lengths 5.199, 5.199, 12.346 Å; angles 90.00, 90.00, 90.00 degrees
Space group I4/mmm (No. 139)
One atom of each set of equivalent atoms:
Cs 0.000 0.000 0.000 (multiplicity 2)
Cd 0.000 0.500 0.250 (multiplicity 4)
In 0.000 0.000 0.375 (multiplicity 4)

Properties
- Energy above the most stable polymorph in this dataset: 0.003 eV per atom

9.
First-principles (GGA-PBE) data for an optimized crystal structure of Cs3CdIn, as listed in Alexandria.

Cell lengths 14.069, 11.897, 9.353 Å; angles 90.00, 128.40, 90.00 degrees
Space group C2/m (No. 12)
One atom of each set of equivalent atoms:
Cs 0.053 0.000 0.285 (multiplicity 4)
Cs 0.202 0.310 0.180 (multiplicity 8)
Cd 0.198 0.500 0.811 (multiplicity 4)
In 0.067 0.500 0.404 (multiplicity 4)

Properties
- Energy above the most stable polymorph in this dataset: 0.000 eV per atom

10.
First-principles (GGA-PBE) data for an optimized crystal structure of Cs2Cd2In, as listed in Alexandria.

Cell lengths 11.131, 11.131, 3.761 Å; angles 90.00, 90.00, 90.00 degrees
Space group P4/mbm (No. 127)
One atom of each set of equivalent atoms:
Cs 0.193 0.307 0.000 (multiplicity 4)
Cd 0.096 0.596 0.500 (multiplicity 4)
In 0.000 0.000 0.000 (multiplicity 2)

Properties
- Energy above the most stable polymorph in this dataset: 0.236 eV per atom

11.
First-principles (GGA-PBE) data for an optimized crystal structure of Cs5Cd6In, as listed in Alexandria.

Cell lengths 7.926, 18.100, 9.080 Å; angles 90.00, 113.96, 90.00 degrees
Space group C2/m (No. 12)
One atom of each set of equivalent atoms:
Cs 0.000 0.000 0.000 (multiplicity 2)
Cs 0.000 0.289 0.000 (multiplicity 4)
Cs 0.000 0.362 0.500 (multiplicity 4)
Cd 0.064 0.149 0.679 (multiplicity 8)
Cd 0.142 0.500 0.180 (multiplicity 4)
In 0.000 0.000 0.500 (multiplicity 2)

12.
First-principles (GGA-PBE) data for an optimized crystal structure of Cs2Cd4In, as listed in Alexandria.

Cell lengths 5.709, 5.709, 19.968 Å; angles 90.00, 90.00, 90.00 degrees
Space group I4/mmm (No. 139)
One atom of each set of equivalent atoms:
Cs 0.000 0.000 0.146 (multiplicity 4)
Cd 0.000 0.000 0.343 (multiplicity 4)
Cd 0.000 0.500 0.000 (multiplicity 4)
In 0.000 0.000 0.500 (multiplicity 2)

For the records above, the corresponding energy of formation from the pure elements values read -0.50, 0.55, 4.61, 0.13, 3.27, -0.51, 0.15, -0.26, 0.08, 0.85, -0.06, 0.48 eV/f.u..
For the records above, the corresponding D(E_F) values read 0.585, 0.854, 0.655, 0.365, 1.136, 0.519, 0.458, 0.628, 0.776, 0.733, 0.686, 0.568 states/eV/atom.